Entry 1:
A relaxed structure of Ir5Ru2Rh2. Source: the Alexandria database, functional PBE.

Results
Formation energy in meV/atom: -17.0

abc: 11.565 3.850 6.098
angles: 90.00 108.46 90.00
Space group C2/m (No. 12)
Unique sites:
Ir 0.000 0.000 0.000 (multiplicity 2)
Ir 0.166 0.500 0.998 (multiplicity 4)
Ir 0.225 0.000 0.335 (multiplicity 4)
Ru 0.113 0.000 0.667 (multiplicity 4)
Rh 0.054 0.500 0.333 (multiplicity 4)

Entry 2:
A relaxed structure of Ir2RuRh. Source: the Alexandria database, functional PBE.

Results
ΔE to the lowest computed polymorph in eV/atom: 0.014
Formation energy in meV/atom: -12.5

abc: 5.435 5.446 7.713
angles: 90.00 90.00 90.00
Space group F222 (No. 22)
Unique sites:
Ir 0.000 0.000 0.000 (multiplicity 4)
Ir 0.250 0.250 0.250 (multiplicity 4)
Ru 0.250 0.250 0.750 (multiplicity 4)
Rh 0.000 0.000 0.500 (multiplicity 4)

Entry 3:
A relaxed structure of IrRu4Rh2. Source: the Alexandria database, functional PBE.

Results
ΔE to the lowest computed polymorph in eV/atom: 0.000
Formation energy in meV/atom: 447.3

abc: 4.395 11.996 8.002
angles: 90.00 90.00 90.00
Space group Cmcm (No. 63)
Unique sites:
Ir 0.000 0.197 0.250 (multiplicity 4)
Ru 0.000 0.000 0.000 (multiplicity 4)
Ru 0.000 0.218 0.590 (multiplicity 8)
Ru 0.000 0.418 0.750 (multiplicity 4)
Rh 0.000 0.401 0.089 (multiplicity 8)

Entry 4:
A relaxed structure of Ir2RuRh2. Source: the Alexandria database, functional PBE.

Results
ΔE to the lowest computed polymorph in eV/atom: 0.674
Formation energy in meV/atom: 651.9

abc: 3.595 3.595 12.489
angles: 90.00 90.00 90.00
Space group I4/mmm (No. 139)
Unique sites:
Ir 0.000 0.500 0.250 (multiplicity 4)
Ru 0.000 0.000 0.000 (multiplicity 2)
Rh 0.000 0.000 0.402 (multiplicity 4)